DFT (PBE-GGA) results for a geometry-optimized K3PdO2 structure.

Cell and atoms, written as POSCAR:
```
K3PdO2
1.0
4.5293 -4.1352 0.0000
4.5293 4.1352 0.0000
0.0000 0.0000 6.9949
K Pd O
6 2 4
Cartesian
4.5293 2.2795 5.2462
2.6474 0.0000 0.0000
2.6474 0.0000 3.4975
6.4112 0.0000 0.0000
6.4112 0.0000 3.4975
4.5293 -2.2795 1.7487
4.5293 2.6466 1.7487
4.5293 -2.6466 5.2462
0.0000 0.0000 0.0000
0.0000 0.0000 3.4975
4.5293 0.6034 1.7487
4.5293 -0.6034 5.2462
```

Summary:
space-group type = No. 63
crystal system = orthorhombic
spin magnetization = 0.24 μB per formula unit
ΔE_f (raw) = -0.754 eV per atom
Fermi-level density of states = 5.45 states/eV per cell


DFT (PBE-GGA) results for a geometry-optimized K2PdO structure.

Cell and atoms, written as POSCAR:
```
K2PdO
1.0
4.5438 0.0000 0.0000
0.0000 13.0188 0.0000
0.0000 0.0000 6.4599
K Pd O
8 4 4
Cartesian
0.0000 1.9666 0.0040
0.0000 1.9666 3.2260
0.0000 11.0522 3.2339
0.0000 11.0522 6.4559
2.2719 4.5428 3.2339
2.2719 4.5428 6.4559
2.2719 8.4760 0.0040
2.2719 8.4760 3.2260
0.0000 6.1453 4.8449
0.0000 6.8735 1.6150
2.2719 0.3641 1.6150
2.2719 12.6547 4.8449
0.0000 4.1058 4.8449
0.0000 8.9130 1.6150
2.2719 2.4036 1.6150
2.2719 10.6152 4.8449
```

Summary:
space-group type = No. 63
crystal system = orthorhombic
spin magnetization = 0.00 μB per formula unit
ΔE_f (raw) = -0.512 eV per atom
Fermi-level density of states = 4.74 states/eV per cell


DFT (PBE-GGA) results for a geometry-optimized K2PdO structure.

Cell and atoms, written as POSCAR:
```
K2PdO
1.0
10.9934 0.0000 0.0000
0.0000 10.9934 0.0000
0.0000 0.0000 4.0580
K Pd O
8 4 4
Cartesian
0.1789 8.2451 0.5072
2.7484 0.1789 3.5507
2.7484 5.3178 1.5217
5.3178 8.2451 2.5362
5.6756 2.7484 2.5362
8.2451 5.6756 1.5217
8.2451 10.8145 3.5507
10.8145 2.7484 0.5072
0.0000 0.0000 2.0290
0.0000 5.4967 3.0435
5.4967 0.0000 1.0145
5.4967 5.4967 0.0000
0.0000 0.0000 0.0000
0.0000 5.4967 1.0145
5.4967 0.0000 3.0435
5.4967 5.4967 2.0290
```

Summary:
space-group type = No. 122
crystal system = tetragonal
spin magnetization = 0.00 μB per formula unit
ΔE_f (raw) = -0.632 eV per atom
Fermi-level density of states = 7.12 states/eV per cell